# 1
First-principles (PBE-GGA) data for a geometry-optimized Sm2Tl3CdSe6 structure, as listed in the Alexandria database.

Unit cell a=7.350 b=7.350 c=7.908 alpha=98.95 beta=98.95 gamma=120.11
Sites, in units of the cell vectors:
Sm  0.166  0.834  0.000
Sm  0.834  0.166  0.000
Tl  0.000  0.000  0.500
Tl  0.330  0.670  0.500
Tl  0.670  0.330  0.500
Cd  0.500  0.500  0.000
Se  0.097  0.429  0.786
Se  0.241  0.241  0.216
Se  0.429  0.097  0.786
Se  0.571  0.903  0.214
Se  0.759  0.759  0.784
Se  0.903  0.571  0.214

## Properties
Electronic total energy: -4.206 eV/atom


# 2
First-principles (PBE-GGA) data for a geometry-optimized Al4AsBr structure, as listed in the Alexandria database.

Unit cell a=5.560 b=5.560 c=5.560 alpha=60.00 beta=60.00 gamma=60.00
Sites, in units of the cell vectors:
Al  0.124  0.124  0.124
Al  0.124  0.124  0.627
Al  0.124  0.627  0.124
Al  0.627  0.124  0.124
As  0.750  0.750  0.750
Br  0.500  0.500  0.500

## Properties
Electronic total energy: -3.266 eV/atom


So what do the calculations give for magnetic moment? Going down the list: 0.0; 0.0 Bohr magnetons per cell.